[1]
# SrI2O2

An optimized crystal structure of SrI2O2 (GGA-PBE, the Alexandria database).

Its space-group type is P4/mmm. The value obtained for the energy above the lowest structure with this stoichiometry is 0.6243 eV per atom.

a b c (Å): 4.672 4.672 7.638
angles (deg): 90.00 90.00 90.00
Atoms (fractional coordinates):
O1 0.500 0.000 0.000
O2 0.000 0.500 0.000
Sr1 0.000 0.000 0.000
I1 0.500 0.500 0.500
I2 0.000 0.000 0.500

***

[2]
# SrI2O

An optimized crystal structure of SrI2O (GGA-PBE, the Alexandria database).

Its space-group type is Fm-3m. The value obtained for the energy above the lowest structure with this stoichiometry is 0.8356 eV per atom.

a b c (Å): 5.617 5.617 5.617
angles (deg): 60.00 60.00 60.00
Atoms (fractional coordinates):
Sr1 0.500 0.500 0.500
O1 0.000 0.000 0.000
I1 0.250 0.250 0.250
I2 0.750 0.750 0.750

***

[3]
# SrIO3

An optimized crystal structure of SrIO3 (GGA-PBE, the Alexandria database).

Its space-group type is P1.

a b c (Å): 4.237 6.825 6.714
angles (deg): 85.64 88.38 107.09
Atoms (fractional coordinates):
O1 0.543 0.802 0.745
O2 0.356 0.511 0.166
O3 0.620 0.003 0.067
O4 0.916 0.725 0.363
O5 0.666 0.147 0.486
O6 0.188 0.075 0.810
I1 0.439 0.654 0.414
I2 0.640 0.093 0.776
Sr1 0.169 0.128 0.281
Sr2 0.960 0.701 0.983

***

[4]
# Sr2IO

An optimized crystal structure of Sr2IO (GGA-PBE, the Alexandria database).

Its space-group type is Fm-3m. The value obtained for the energy above the lowest structure with this stoichiometry is 0.8895 eV per atom.

a b c (Å): 5.295 5.295 5.295
angles (deg): 60.00 60.00 60.00
Atoms (fractional coordinates):
I1 0.500 0.500 0.500
Sr1 0.750 0.750 0.750
Sr2 0.250 0.250 0.250
O1 0.000 0.000 0.000

***

[5]
# Sr3IO6

An optimized crystal structure of Sr3IO6 (GGA-PBE, the Alexandria database).

Its space-group type is R-3.

a b c (Å): 7.012 7.012 7.012
angles (deg): 91.68 91.68 91.68
Atoms (fractional coordinates):
Sr1 0.250 0.564 0.057
Sr2 0.943 0.750 0.436
Sr3 0.564 0.057 0.250
Sr4 0.436 0.943 0.750
Sr5 0.057 0.250 0.564
Sr6 0.750 0.436 0.943
O1 0.571 0.761 0.456
O2 0.289 0.927 0.065
O3 0.065 0.289 0.927
O4 0.927 0.065 0.289
O5 0.073 0.935 0.711
O6 0.544 0.429 0.239
O7 0.456 0.571 0.761
O8 0.935 0.711 0.073
O9 0.239 0.544 0.429
O10 0.711 0.073 0.935
O11 0.429 0.239 0.544
O12 0.761 0.456 0.571
I1 0.000 0.000 0.000
I2 0.500 0.500 0.500

***

[6]
# Sr2IO

An optimized crystal structure of Sr2IO (GGA-PBE, the Alexandria database).

Its space-group type is I-42d. The value obtained for the energy above the lowest structure with this stoichiometry is 0.1072 eV per atom.

a b c (Å): 6.967 6.967 7.557
angles (deg): 62.55 62.55 90.00
Atoms (fractional coordinates):
O1 0.250 0.750 0.500
O2 0.500 0.500 0.000
Sr1 0.507 0.125 0.250
Sr2 0.875 0.757 0.750
Sr3 0.375 0.493 0.750
Sr4 0.243 0.625 0.250
I1 0.750 0.250 0.500
I2 0.000 0.000 0.000

***

[7]
# Sr3IO

An optimized crystal structure of Sr3IO (GGA-PBE, the Alexandria database).

Its space-group type is Pm-3m.

a b c (Å): 5.384 5.384 5.384
angles (deg): 90.00 90.00 90.00
Atoms (fractional coordinates):
Sr1 0.000 0.000 0.500
Sr2 0.000 0.500 0.000
Sr3 0.500 0.000 0.000
O1 0.000 0.000 0.000
I1 0.500 0.500 0.500

***

[8]
# SrI2O

An optimized crystal structure of SrI2O (GGA-PBE, the Alexandria database).

Its space-group type is I-42d. The value obtained for the energy above the lowest structure with this stoichiometry is 0.8878 eV per atom.

a b c (Å): 6.059 6.059 9.728
angles (deg): 71.85 71.85 90.00
Atoms (fractional coordinates):
O1 0.250 0.750 0.500
O2 0.500 0.500 0.000
I1 0.582 0.125 0.250
I2 0.168 0.625 0.250
I3 0.375 0.418 0.750
I4 0.875 0.832 0.750
Sr1 0.750 0.250 0.500
Sr2 0.000 0.000 0.000

***

One value per record, in order, for energy: -16.8 -12.0 -49.8 -14.0 -112.2 -34.3 -17.2 -23.6 eV/cell.
One value per record, in order, for uncorrected formation energy: -419 -565 -1358 -1034 -1975 -1816 -1136 -513 meV/atom.